# 1
Compound: Li2AcSnPt
Source: Alexandria via LeMat-Bulk
Functional: PBE
Structure: optimized geometry

Summary:
- Electronic total energy: -42.23 eV for the cell shown
- Theoretical density: 8.10 g cm⁻³
- Energy relative to the elements: -0.627 eV/atom
- Volume: 227.4 Å³/cell

Unit cell a=4.1152 b=4.4431 c=12.4358 alpha=90.00 beta=90.00 gamma=90.00
Last column: nearest neighbours and their distance in Å.
Space group Imm2 (No. 44)
Inequivalent atoms, fractional coordinates:
Li  0.0000  0.0000  0.0000 x2  2 Li 2.79, 2 Pt 2.82, 4 Sn 3.04
Li  0.0000  0.5000  0.3482 x2  1 Pt 2.60, 2 Sn 2.77, 2 Li 2.79
Ac  0.0000  0.5000  0.7193 x2  4 Pt 3.19, 6 Li 3.42-3.43
Sn  0.0000  0.0000  0.4809 x2  6 Li 2.77-3.04, 2 Pt 2.85
Pt  0.0000  0.5000  0.1392 x2  3 Li 2.60-2.82, 2 Sn 2.85

***

# 2
Compound: Li3Ac2SnPt4
Source: Alexandria via LeMat-Bulk
Functional: PBE
Structure: optimized geometry

Summary:
- Electronic total energy: -50.26 eV for the cell shown
- Theoretical density: 11.14 g cm⁻³
- Energy relative to the elements: -0.813 eV/atom
- Volume: 204.8 Å³/cell

Unit cell a=4.3257 b=4.3257 c=10.9442 alpha=90.00 beta=90.00 gamma=90.00
Last column: nearest neighbours and their distance in Å.
Space group P-4m2 (No. 115)
Inequivalent atoms, fractional coordinates:
Li  0.0000  0.0000  0.0000 x1  4 Pt 2.72
Li  0.0000  0.5000  0.6135 x2  5 Pt 2.49-2.58
Ac  0.0000  0.5000  0.2755 x2  8 Pt 3.27-3.35, 4 Li 3.29
Sn  0.5000  0.5000  0.0000 x1  4 Pt 2.72
Pt  0.0000  0.0000  0.5000 x1  4 Li 2.49
Pt  0.0000  0.5000  0.8488 x2  3 Li 2.58-2.72, 2 Sn 2.72
Pt  0.5000  0.5000  0.5000 x1  4 Li 2.49

***

# 3
Compound: LiAc2SnPt
Source: Alexandria via LeMat-Bulk
Functional: PBE
Structure: optimized geometry

Summary:
- Electronic total energy: -48.10 eV for the cell shown
- Theoretical density: 8.91 g cm⁻³
- Energy relative to the elements: -0.775 eV/atom
- Volume: 288.7 Å³/cell

Unit cell a=7.7594 b=4.7821 c=8.2235 alpha=90.00 beta=108.87 gamma=90.00
Last column: nearest neighbours and their distance in Å.
Space group P2_1/m (No. 11)
Inequivalent atoms, fractional coordinates:
Li  0.0529  0.2500  0.1588 x2  1 Pt 2.71, 3 Sn 2.91-2.99
Ac  0.2131  0.7500  0.5514 x2  3 Pt 3.06-3.13
Ac  0.3751  0.7500  0.1587 x2  3 Pt 3.15-3.45, 3 Li 3.46-3.50
Sn  0.1612  0.2500  0.8411 x2  3 Li 2.91-2.99
Pt  0.3810  0.2500  0.4089 x2  1 Li 2.71

***

# 4
Compound: LiAc2TaPt6
Source: Alexandria via LeMat-Bulk
Functional: PBE
Structure: optimized geometry

Summary:
- Electronic total energy: -65.01 eV for the cell shown
- Theoretical density: 13.70 g cm⁻³
- Energy relative to the elements: -0.679 eV/atom
- Volume: 219.7 Å³/cell

Unit cell a=6.3202 b=6.3397 c=7.0154 alpha=97.18 beta=113.25 gamma=114.82
Last column: nearest neighbours and their distance in Å.
Space group P-1 (No. 2)
Inequivalent atoms, fractional coordinates:
Li  0.0000  0.0000  0.0000 x1  6 Pt 2.45-2.52
Ac  0.4140  0.7819  0.1956 x2  7 Pt 3.11-3.28, 1 Li 3.36
Ta  0.0000  0.5000  0.5000 x1  6 Pt 2.56-2.59
Pt  0.0937  0.2735  0.7779 x2  1 Li 2.52, 1 Ta 2.59, 1 Pt 2.66
Pt  0.1576  0.2191  0.3860 x2  1 Li 2.45, 1 Ta 2.56, 2 Pt 2.66
Pt  0.4947  0.3166  0.2280 x2  1 Li 2.52, 1 Ta 2.59, 2 Pt 2.66-2.82

***

# 5
Compound: LiAcTbPt
Source: Alexandria via LeMat-Bulk
Functional: PBE
Structure: optimized geometry

Summary:
- Electronic total energy: -74.77 eV for the cell shown
- Theoretical density: 9.61 g cm⁻³
- Energy relative to the elements: -0.500 eV/atom
- Volume: 406.3 Å³/cell

Unit cell a=7.4065 b=7.4065 c=7.4065 alpha=90.00 beta=90.00 gamma=90.00
Last column: nearest neighbours and their distance in Å.
Space group F-43m (No. 216)
Inequivalent atoms, fractional coordinates:
Li  0.0000  0.0000  0.0000 x4  4 Ac 3.21, 4 Tb 3.21
Ac  0.2500  0.2500  0.2500 x4  4 Li 3.21, 4 Pt 3.21
Tb  0.2500  0.2500  0.7500 x4  4 Li 3.21, 4 Pt 3.21
Pt  0.0000  0.0000  0.5000 x4  4 Ac 3.21, 4 Tb 3.21

***

# 6
Compound: LiAcTiPt2
Source: Alexandria via LeMat-Bulk
Functional: PBE
Structure: optimized geometry

Summary:
- Electronic total energy: -60.02 eV for the cell shown
- Theoretical density: 10.75 g cm⁻³
- Energy relative to the elements: -0.802 eV/atom
- Volume: 207.5 Å³/cell

Unit cell a=4.1759 b=4.1759 c=11.9004 alpha=90.00 beta=90.00 gamma=90.00
Last column: nearest neighbours and their distance in Å.
Space group I-4m2 (No. 119)
Inequivalent atoms, fractional coordinates:
Li  0.0000  0.0000  0.0000 x2  4 Pt 2.60
Ac  0.0000  0.5000  0.7500 x2  8 Pt 3.28, 4 Li 3.63, 4 Ti 3.63
Ti  0.0000  0.0000  0.5000 x2  4 Pt 2.60
Pt  0.0000  0.5000  0.1298 x4  2 Ti 2.60, 2 Li 2.60, 1 Pt 2.86

***

# 7
Compound: LiAcTlPt
Source: Alexandria via LeMat-Bulk
Functional: PBE
Structure: optimized geometry

Summary:
- Electronic total energy: -65.49 eV for the cell shown
- Theoretical density: 11.16 g cm⁻³
- Energy relative to the elements: -0.486 eV/atom
- Volume: 377.0 Å³/cell

Unit cell a=7.2239 b=7.2239 c=7.2239 alpha=90.00 beta=90.00 gamma=90.00
Last column: nearest neighbours and their distance in Å.
Space group F-43m (No. 216)
Inequivalent atoms, fractional coordinates:
Li  0.0000  0.0000  0.0000 x4  4 Ac 3.13, 4 Tl 3.13
Ac  0.2500  0.2500  0.2500 x4  4 Pt 3.13, 4 Li 3.13
Tl  0.2500  0.2500  0.7500 x4  4 Li 3.13, 4 Pt 3.13
Pt  0.0000  0.0000  0.5000 x4  4 Tl 3.13, 4 Ac 3.13

***

# 8
Compound: LiAcTmPt
Source: Alexandria via LeMat-Bulk
Functional: PBE
Structure: optimized geometry

Summary:
- Electronic total energy: -74.38 eV for the cell shown
- Theoretical density: 9.99 g cm⁻³
- Energy relative to the elements: -0.515 eV/atom
- Volume: 397.5 Å³/cell

Unit cell a=7.3525 b=7.3525 c=7.3525 alpha=90.00 beta=90.00 gamma=90.00
Last column: nearest neighbours and their distance in Å.
Space group F-43m (No. 216)
Inequivalent atoms, fractional coordinates:
Li  0.0000  0.0000  0.0000 x4  4 Ac 3.18, 4 Tm 3.18
Ac  0.2500  0.2500  0.2500 x4  4 Pt 3.18, 4 Li 3.18
Tm  0.2500  0.2500  0.7500 x4  4 Li 3.18, 4 Pt 3.18
Pt  0.0000  0.0000  0.5000 x4  4 Tm 3.18, 4 Ac 3.18

***

# 9
Compound: LiAc2UPt6
Source: Alexandria via LeMat-Bulk
Functional: PBE
Structure: optimized geometry

Summary:
- Electronic total energy: -127.81 eV for the cell shown
- Theoretical density: 13.67 g cm⁻³
- Energy relative to the elements: -0.624 eV/atom
- Volume: 454.3 Å³/cell

Unit cell a=6.8332 b=6.8581 c=9.6952 alpha=90.00 beta=90.00 gamma=90.00
Last column: nearest neighbours and their distance in Å.
Space group Immm (No. 71)
Inequivalent atoms, fractional coordinates:
Li  0.0000  0.0000  0.0000 x2  6 Pt 2.27
Ac  0.0000  0.5000  0.2500 x4  12 Pt 3.42-3.43
U  0.0000  0.0000  0.5000 x2  6 Pt 2.57
Pt  0.0000  0.0000  0.2346 x4  1 Li 2.27
Pt  0.2350  0.2340  0.0000 x8  1 Li 2.27

***

# 10
Compound: LiAcYPt
Source: Alexandria via LeMat-Bulk
Functional: PBE
Structure: optimized geometry

Summary:
- Electronic total energy: -82.16 eV for the cell shown
- Theoretical density: 8.47 g cm⁻³
- Energy relative to the elements: -0.503 eV/atom
- Volume: 406.3 Å³/cell

Unit cell a=7.4066 b=7.4066 c=7.4066 alpha=90.00 beta=90.00 gamma=90.00
Last column: nearest neighbours and their distance in Å.
Space group F-43m (No. 216)
Inequivalent atoms, fractional coordinates:
Li  0.0000  0.0000  0.0000 x4  4 Ac 3.21, 4 Y 3.21
Ac  0.2500  0.2500  0.7500 x4  4 Pt 3.21, 4 Li 3.21
Y  0.2500  0.2500  0.2500 x4  4 Li 3.21, 4 Pt 3.21
Pt  0.0000  0.0000  0.5000 x4  4 Y 3.21, 4 Ac 3.21

***

# 11
Compound: LiAc2Zn2Pt5
Source: Alexandria via LeMat-Bulk
Functional: PBE
Structure: optimized geometry

Summary:
- Electronic total energy: -99.35 eV for the cell shown
- Theoretical density: 13.26 g cm⁻³
- Energy relative to the elements: -0.679 eV/atom
- Volume: 392.6 Å³/cell

Unit cell a=10.0868 b=10.0868 c=3.8583 alpha=90.00 beta=90.00 gamma=90.00
Last column: nearest neighbours and their distance in Å.
Space group P4/mbm (No. 127)
Inequivalent atoms, fractional coordinates:
Li  0.0000  0.0000  0.0000 x2  8 Pt 2.89
Ac  0.1811  0.3189  0.0000 x4  3 Zn 2.88-3.08, 2 Pt 3.22
Zn  0.1169  0.6169  0.0000 x4  6 Pt 2.55-2.70
Pt  0.0000  0.5000  0.5000 x2  4 Zn 2.55
Pt  0.0599  0.7947  0.5000 x8  2 Zn 2.70, 2 Li 2.89

***

# 12
Compound: LiAcZnPt
Source: Alexandria via LeMat-Bulk
Functional: PBE
Structure: optimized geometry

Summary:
- Polymorph energy (0 for the lowest one): 182 meV per atom
- Electronic total energy: -60.56 eV for the cell shown
- Theoretical density: 9.42 g cm⁻³
- Energy relative to the elements: -0.451 eV/atom
- Volume: 348.7 Å³/cell

Unit cell a=7.0384 b=7.0384 c=7.0384 alpha=90.00 beta=90.00 gamma=90.00
Last column: nearest neighbours and their distance in Å.
Space group F-43m (No. 216)
Inequivalent atoms, fractional coordinates:
Li  0.0000  0.0000  0.0000 x4  4 Zn 3.05, 4 Ac 3.05
Ac  0.2500  0.2500  0.2500 x4  4 Li 3.05, 4 Pt 3.05
Zn  0.2500  0.2500  0.7500 x4  4 Pt 3.05, 4 Li 3.05
Pt  0.0000  0.0000  0.5000 x4  4 Ac 3.05, 4 Zn 3.05